Cs2IO3: relaxed, PBE.

The space group is Fmmm (No. 69) and the conventional cell measures 8.610, 13.783 and 14.570 Å, with angles of 90.00, 90.00 and 90.00 degrees. The asymmetric unit holds Cs at (0.236, 0.000, 0.000), Cs at (0.250, 0.250, 0.250), I at (0.000, 0.000, 0.234), O at (0.000, 0.000, 0.369) and O at (0.000, 0.119, 0.159).

As for the density of states at the Fermi level: 5.5 states/eV per cell. As for the raw formation energy: -0.8540 eV/atom.

Cs3IO5: relaxed, PBE.

The space group is Pnna (No. 52) and the conventional cell measures 9.193, 9.355 and 9.805 Å, with angles of 90.00, 90.00 and 90.00 degrees. The asymmetric unit holds Cs at (0.034, 0.250, 0.250), Cs at (0.250, 0.000, 0.515), Cs at (0.250, 0.000, 0.984), I at (0.011, 0.250, 0.750), O at (0.006, 0.249, 0.558), O at (0.079, 0.572, 0.251) and O at (0.214, 0.250, 0.750).

As for the density of states at the Fermi level: 0.0 states/eV per cell. As for the raw formation energy: -1.1213 eV/atom.

CsOsIO2: relaxed, PBE.

The space group is P4/mmm (No. 123) and the conventional cell measures 4.351, 4.351 and 5.495 Å, with angles of 90.00, 90.00 and 90.00 degrees. The asymmetric unit holds Cs at (0.000, 0.000, 0.000), Os at (0.500, 0.500, 0.500), I at (0.500, 0.500, 0.000) and O at (0.000, 0.500, 0.500).

As for the density of states at the Fermi level: 3.2 states/eV per cell. As for the raw formation energy: -0.0300 eV/atom.

CsOsI2O: relaxed, PBE.

The space group is P4/mmm (No. 123) and the conventional cell measures 6.080, 6.080 and 3.814 Å, with angles of 90.00, 90.00 and 90.00 degrees. The asymmetric unit holds Cs at (0.000, 0.000, 0.000), Os at (0.500, 0.500, 0.500), I at (0.000, 0.500, 0.500) and O at (0.500, 0.500, 0.000).

As for the density of states at the Fermi level: 2.9 states/eV per cell. As for the raw formation energy: -0.4244 eV/atom.

CsOsIO2: relaxed, PBE.

The space group is P4/mmm (No. 123) and the conventional cell measures 4.220, 4.220 and 7.773 Å, with angles of 90.00, 90.00 and 90.00 degrees. The asymmetric unit holds Cs at (0.000, 0.000, 0.000), Os at (0.500, 0.500, 0.500), I at (0.000, 0.000, 0.500) and O at (0.000, 0.500, 0.000).

As for the density of states at the Fermi level: 5.8 states/eV per cell. As for the raw formation energy: 1.4402 eV/atom.

CsOsI2O: relaxed, PBE.

The space group is P4/mmm (No. 123) and the conventional cell measures 7.025, 7.025 and 4.350 Å, with angles of 90.00, 90.00 and 90.00 degrees. The asymmetric unit holds Cs at (0.000, 0.000, 0.000), Os at (0.500, 0.500, 0.500), I at (0.000, 0.500, 0.000) and O at (0.000, 0.000, 0.500).

As for the density of states at the Fermi level: 8.3 states/eV per cell. As for the raw formation energy: 1.5234 eV/atom.

CsPI2O: relaxed, PBE.

The space group is P4/mmm (No. 123) and the conventional cell measures 6.382, 6.382 and 3.662 Å, with angles of 90.00, 90.00 and 90.00 degrees. The asymmetric unit holds Cs at (0.000, 0.000, 0.000), P at (0.500, 0.500, 0.500), I at (0.000, 0.500, 0.500) and O at (0.500, 0.500, 0.000).

As for the density of states at the Fermi level: 2.4 states/eV per cell. As for the raw formation energy: -0.6242 eV/atom.

CsPI2O8: relaxed, PBE.

The space group is C2/m (No. 12) and the conventional cell measures 8.972, 6.301 and 8.260 Å, with angles of 90.00, 121.32 and 90.00 degrees. The asymmetric unit holds Cs at (0.000, 0.000, 0.000), P at (0.000, 0.000, 0.500), I at (0.057, 0.500, 0.353), O at (0.016, 0.183, 0.354), O at (0.172, 0.500, 0.617) and O at (0.232, 0.000, 0.661).

As for the density of states at the Fermi level: 0.0 states/eV per cell. As for the raw formation energy: -0.8088 eV/atom.

CsPI2O: relaxed, PBE.

The space group is P4/mmm (No. 123) and the conventional cell measures 6.877, 6.877 and 4.353 Å, with angles of 90.00, 90.00 and 90.00 degrees. The asymmetric unit holds Cs at (0.000, 0.000, 0.000), P at (0.500, 0.500, 0.500), I at (0.000, 0.500, 0.000) and O at (0.000, 0.000, 0.500).

As for the density of states at the Fermi level: 12.4 states/eV per cell. As for the raw formation energy: 0.9280 eV/atom.

Cs2PaI5O: relaxed, PBE.

The space group is I4mm (No. 107) and the conventional cell measures 8.759, 8.759 and 11.464 Å, with angles of 90.00, 90.00 and 90.00 degrees. The asymmetric unit holds Cs at (0.000, 0.500, 0.000), Pa at (0.000, 0.000, 0.239), I at (0.000, 0.000, 0.503), I at (0.248, 0.248, 0.251) and O at (0.000, 0.000, 0.079).

As for the density of states at the Fermi level: 0.0 states/eV per cell. As for the raw formation energy: -1.6226 eV/atom.

Cs3Pa2I2O5: relaxed, PBE.

The space group is I4/mmm (No. 139) and the conventional cell measures 4.563, 4.563 and 29.838 Å, with angles of 90.00, 90.00 and 90.00 degrees. The asymmetric unit holds Cs at (0.000, 0.000, 0.000), Cs at (0.000, 0.000, 0.152), Pa at (0.000, 0.000, 0.427), I at (0.000, 0.000, 0.306), O at (0.000, 0.000, 0.500) and O at (0.000, 0.500, 0.076).

As for the density of states at the Fermi level: 13.0 states/eV per cell. As for the raw formation energy: -2.4035 eV/atom.

CsPa2IO8: relaxed, PBE.

The space group is C2/m (No. 12) and the conventional cell measures 9.001, 6.948 and 7.925 Å, with angles of 90.00, 104.61 and 90.00 degrees. The asymmetric unit holds Cs at (0.000, 0.000, 0.000), Pa at (0.052, 0.500, 0.232), I at (0.000, 0.000, 0.500), O at (0.003, 0.223, 0.316), O at (0.139, 0.500, 0.997) and O at (0.239, 0.000, 0.586).

As for the density of states at the Fermi level: 0.0 states/eV per cell. As for the raw formation energy: -2.1942 eV/atom.